[1]
{
  "formula": "MgTaBe2",
  "functional": "GGA-PBE",
  "state": "relaxed",
  "lattice_angstrom": [[4.1635, 0.0000, 0.0000], [0.0000, 4.1635, 0.0000], [0.0000, 0.0000, 3.1142]],
  "species": ["Mg", "Ta", "Be", "Be"],
  "frac_coords": [[0.0000, 0.0000, 0.0000], [0.5000, 0.5000, 0.0000], [0.0000, 0.5000, 0.5000], [0.5000, 0.0000, 0.5000]]
}

[2]
{
  "formula": "MgTaBe2",
  "functional": "GGA-PBE",
  "state": "relaxed",
  "lattice_angstrom": [[0.0000, 3.0321, 3.0321], [3.0321, 0.0000, 3.0321], [3.0321, 3.0321, 0.0000]],
  "species": ["Mg", "Ta", "Be", "Be"],
  "frac_coords": [[0.0000, 0.0000, 0.0000], [0.7500, 0.7500, 0.7500], [0.2500, 0.2500, 0.2500], [0.5000, 0.5000, 0.5000]]
}

Calculated total moment, 0.0; 0.0 μB per cell (same order as the records).
Calculated energy, -0.1860; -0.1673 hartree per atom (same order as the records).